No. 1
KCdSeBr2: optimized geometry, PBE.

Unit cell a=5.690 b=5.690 c=5.301 alpha=90.00 beta=90.00 gamma=90.00
Atoms (fractional coordinates):
1 K 0.000 0.000 0.000
2 Cd 0.500 0.500 0.500
3 Se 0.500 0.500 0.000
4 Br 0.000 0.500 0.500
5 Br 0.500 0.000 0.500

Calculated values
symmetry: P4/mmm
offset from the most stable computed form: 0.00 eV per formula unit
energy relative to the elements, uncorrected: -0.751 eV/atom
total DFT energy (no corrections): -0.185 Ry/atom
size of the total moment: 1.0 μB per formula unit
crystal system: tetragonal

---

No. 2
KCdSeBr2: optimized geometry, PBE.

Unit cell a=6.089 b=6.089 c=6.067 alpha=90.00 beta=90.00 gamma=90.00
Atoms (fractional coordinates):
1 K 0.000 0.000 0.000
2 Cd 0.500 0.500 0.500
3 Se 0.000 0.000 0.500
4 Br 0.000 0.500 0.000
5 Br 0.500 0.000 0.000

Calculated values
symmetry: P4/mmm
offset from the most stable computed form: 4.08 eV per formula unit
energy relative to the elements, uncorrected: 0.066 eV/atom
total DFT energy (no corrections): -0.125 Ry/atom
size of the total moment: 2.2 μB per formula unit
crystal system: tetragonal

---

No. 3
K2CdSiBr: optimized geometry, PBE.

Unit cell a=6.536 b=6.536 c=4.785 alpha=90.00 beta=90.00 gamma=90.00
Atoms (fractional coordinates):
1 K 0.000 0.500 0.000
2 K 0.500 0.000 0.000
3 Cd 0.000 0.000 0.500
4 Si 0.000 0.000 0.000
5 Br 0.500 0.500 0.500

Calculated values
symmetry: P4/mmm
energy relative to the elements, uncorrected: -0.305 eV/atom
total DFT energy (no corrections): -0.172 Ry/atom
size of the total moment: 0.4 μB per formula unit
crystal system: tetragonal

---

No. 4
KSmCdBr6: optimized geometry, PBE.

Unit cell a=7.356 b=7.356 c=14.591 alpha=90.00 beta=90.00 gamma=120.00
Atoms (fractional coordinates):
1 K 0.000 0.000 0.000
2 K 0.000 0.000 0.500
3 Sm 0.333 0.667 0.250
4 Sm 0.667 0.333 0.750
5 Cd 0.333 0.667 0.750
6 Cd 0.667 0.333 0.250
7 Br 0.005 0.373 0.637
8 Br 0.005 0.633 0.863
9 Br 0.367 0.373 0.863
10 Br 0.367 0.995 0.637
11 Br 0.373 0.005 0.137
12 Br 0.373 0.367 0.363
13 Br 0.627 0.633 0.637
14 Br 0.627 0.995 0.863
15 Br 0.633 0.005 0.363
16 Br 0.633 0.627 0.137
17 Br 0.995 0.367 0.137
18 Br 0.995 0.627 0.363

Calculated values
symmetry: P-31c
energy relative to the elements, uncorrected: -1.515 eV/atom
total DFT energy (no corrections): -0.248 Ry/atom
size of the total moment: 0.0 μB per formula unit
crystal system: trigonal

---

No. 5
KCdSnBr5: optimized geometry, PBE.

Unit cell a=8.111 b=8.111 c=10.737 alpha=103.96 beta=103.96 gamma=106.21
Atoms (fractional coordinates):
1 K 0.155 0.845 0.750
2 K 0.845 0.155 0.250
3 Cd 0.181 0.819 0.250
4 Cd 0.819 0.181 0.750
5 Sn 0.500 0.500 0.000
6 Sn 0.500 0.500 0.500
7 Br 0.121 0.232 0.943
8 Br 0.163 0.581 0.381
9 Br 0.232 0.121 0.443
10 Br 0.410 0.590 0.750
11 Br 0.419 0.837 0.119
12 Br 0.581 0.163 0.881
13 Br 0.590 0.410 0.250
14 Br 0.768 0.879 0.557
15 Br 0.837 0.419 0.619
16 Br 0.879 0.768 0.057

Calculated values
symmetry: C2/c
energy relative to the elements, uncorrected: -1.043 eV/atom
total DFT energy (no corrections): -0.209 Ry/atom
size of the total moment: 0.0 μB per formula unit
crystal system: monoclinic

---

No. 6
K3Cd2SnBr9: optimized geometry, PBE.

Unit cell a=7.933 b=7.933 c=9.984 alpha=90.00 beta=90.00 gamma=120.00
Atoms (fractional coordinates):
1 K 0.000 0.000 0.000
2 K 0.333 0.667 0.728
3 K 0.667 0.333 0.272
4 Cd 0.333 0.667 0.167
5 Cd 0.667 0.333 0.833
6 Sn 0.000 0.000 0.500
7 Br 0.000 0.500 0.000
8 Br 0.165 0.331 0.317
9 Br 0.165 0.835 0.317
10 Br 0.331 0.165 0.683
11 Br 0.500 0.000 0.000
12 Br 0.500 0.500 0.000
13 Br 0.669 0.835 0.317
14 Br 0.835 0.165 0.683
15 Br 0.835 0.669 0.683

Calculated values
symmetry: P-3m1
energy relative to the elements, uncorrected: -1.147 eV/atom
total DFT energy (no corrections): -0.203 Ry/atom
size of the total moment: 0.0 μB per formula unit
crystal system: trigonal

---

Q: What is the size of the total moment in the fifth record?
A: 0.0 μB per formula unit

---

Q: The highest energy relative to the elements, uncorrected belongs to which entry?
A: number 2

---

Q: What is the formula in the first record?
A: KCdSeBr2